[1]
## LaPmIn6 (PBE)

Data for LaPmIn6 after structural relaxation.

Cell: 5.2383 6.8625 11.8601 Å, 90.00 90.00 90.00°
Atoms (fractional coordinates):
La (0.0000, 0.0000, 0.0000)
La (0.0000, 0.5000, 0.5000)
Pm (0.5000, 0.0000, 0.6677)
Pm (0.5000, 0.5000, 0.1677)
In (0.0000, 0.0000, 0.4924)
In (0.0000, 0.2367, 0.2546)
In (0.0000, 0.2633, 0.7546)
In (0.0000, 0.5000, 0.9924)
In (0.0000, 0.7367, 0.7546)
In (0.0000, 0.7633, 0.2546)
In (0.5000, 0.0000, 0.1773)
In (0.5000, 0.2339, 0.4121)
In (0.5000, 0.2661, 0.9121)
In (0.5000, 0.5000, 0.6773)
In (0.5000, 0.7339, 0.9121)
In (0.5000, 0.7661, 0.4121)

Computed properties:
Relative energy among the computed polymorphs   0.33 eV per formula unit
Total DFT energy (no corrections)   -3.70 eV per atom
Formation energy   -0.44 eV per atom
Total moment   0.00 Bohr magnetons per cell
Space-group type   Amm2

***

[2]
## La4Pm5In (PBE)

Data for La4Pm5In after structural relaxation.

Cell: 4.2823 4.2823 18.4766 Å, 90.00 90.00 90.00°
Atoms (fractional coordinates):
La (0.0000, 0.0000, 0.1048)
La (0.0000, 0.0000, 0.3039)
La (0.0000, 0.0000, 0.6961)
La (0.0000, 0.0000, 0.8952)
Pm (0.5000, 0.5000, 0.0000)
Pm (0.5000, 0.5000, 0.2112)
Pm (0.5000, 0.5000, 0.4135)
Pm (0.5000, 0.5000, 0.5865)
Pm (0.5000, 0.5000, 0.7888)
In (0.0000, 0.0000, 0.5000)

Computed properties:
Relative energy among the computed polymorphs   0.00 eV per formula unit
Total DFT energy (no corrections)   -4.63 eV per atom
Formation energy   -0.01 eV per atom
Total moment   0.00 Bohr magnetons per cell
Space-group type   P4/mmm

***

[3]
## La4PmIn3 (PBE)

Data for La4PmIn3 after structural relaxation.

Cell: 9.9467 9.9467 9.9467 Å, 32.81 32.81 32.81°
Atoms (fractional coordinates):
La (0.1167, 0.1167, 0.1167)
La (0.3675, 0.3675, 0.3675)
La (0.6325, 0.6325, 0.6325)
La (0.8833, 0.8833, 0.8833)
Pm (0.5000, 0.5000, 0.5000)
In (0.0000, 0.0000, 0.0000)
In (0.2403, 0.2403, 0.2403)
In (0.7597, 0.7597, 0.7597)

Computed properties:
Total DFT energy (no corrections)   -4.43 eV per atom
Formation energy   -0.34 eV per atom
Total moment   1.23 Bohr magnetons per cell
Space-group type   R-3m

***

[4]
## La5Pm2In5 (PBE)

Data for La5Pm2In5 after structural relaxation.

Cell: 8.1980 8.1980 11.4585 Å, 116.00 116.00 32.38°
Atoms (fractional coordinates):
La (0.0000, 0.0000, 0.0000)
La (0.0772, 0.0772, 0.7572)
La (0.2492, 0.2492, 0.2456)
La (0.7508, 0.7508, 0.7544)
La (0.9228, 0.9228, 0.2428)
Pm (0.1522, 0.1522, 0.4838)
Pm (0.8478, 0.8478, 0.5162)
In (0.3217, 0.3217, 0.9967)
In (0.4046, 0.4046, 0.7384)
In (0.5000, 0.5000, 0.5000)
In (0.5954, 0.5954, 0.2616)
In (0.6783, 0.6783, 0.0033)

Computed properties:
Total DFT energy (no corrections)   -4.37 eV per atom
Formation energy   -0.39 eV per atom
Total moment   0.00 Bohr magnetons per cell
Space-group type   C2/m

***

[5]
## La3Pm2In4 (PBE)

Data for La3Pm2In4 after structural relaxation.

Cell: 5.4895 5.4895 10.5089 Å, 90.08 90.08 60.06°
Atoms (fractional coordinates):
La (0.0000, 0.0000, 0.0000)
La (0.3334, 0.3334, 0.5739)
La (0.6666, 0.6666, 0.4261)
Pm (0.3330, 0.3330, 0.2162)
Pm (0.6670, 0.6670, 0.7838)
In (0.9999, 0.9999, 0.3459)
In (0.0001, 0.0001, 0.6541)
In (0.3336, 0.3336, 0.8964)
In (0.6664, 0.6664, 0.1036)

Computed properties:
Relative energy among the computed polymorphs   0.00 eV per formula unit
Total DFT energy (no corrections)   -4.34 eV per atom
Formation energy   -0.43 eV per atom
Total moment   0.00 Bohr magnetons per cell
Space-group type   C2/m

***

[6]
## LaPmIn4 (PBE)

Data for LaPmIn4 after structural relaxation.

Cell: 5.0235 5.0235 7.5366 Å, 90.00 90.00 120.00°
Atoms (fractional coordinates):
La (0.0000, 0.0000, 0.0000)
Pm (0.0000, 0.0000, 0.5000)
In (0.3333, 0.6667, 0.2574)
In (0.3333, 0.6667, 0.7426)
In (0.6667, 0.3333, 0.2574)
In (0.6667, 0.3333, 0.7426)

Computed properties:
Relative energy among the computed polymorphs   0.02 eV per formula unit
Total DFT energy (no corrections)   -3.92 eV per atom
Formation energy   -0.48 eV per atom
Total moment   0.00 Bohr magnetons per cell
Space-group type   P6/mmm

***

[7]
## La8PmIn2 (PBE)

Data for La8PmIn2 after structural relaxation.

Cell: 9.4870 9.4870 9.4870 Å, 147.47 122.13 67.98°
Atoms (fractional coordinates):
La (0.1270, 0.3408, 0.7862)
La (0.1506, 0.1506, 0.0000)
La (0.3300, 0.0000, 0.3300)
La (0.4454, 0.6592, 0.7862)
La (0.5546, 0.3408, 0.2138)
La (0.6700, 0.0000, 0.6700)
La (0.8494, 0.8494, 0.0000)
La (0.8730, 0.6592, 0.2138)
Pm (0.0000, 0.5000, 0.5000)
In (0.3016, 0.8016, 0.5000)
In (0.6984, 0.1984, 0.5000)

Computed properties:
Relative energy among the computed polymorphs   0.00 eV per formula unit
Total DFT energy (no corrections)   -4.65 eV per atom
Formation energy   -0.14 eV per atom
Total moment   0.00 Bohr magnetons per cell
Space-group type   Immm

***

[8]
## La2Pm3Pr6In (PBE)

Data for La2Pm3Pr6In after structural relaxation.

Cell: 6.3162 6.3162 12.1388 Å, 95.04 95.04 120.09°
Atoms (fractional coordinates):
La (0.1663, 0.8337, 0.0000)
La (0.8337, 0.1663, 0.0000)
Pm (0.0000, 0.0000, 0.5000)
Pm (0.3314, 0.6686, 0.5000)
Pm (0.6686, 0.3314, 0.5000)
Pr (0.0939, 0.4177, 0.7516)
Pr (0.2591, 0.2591, 0.2498)
Pr (0.4177, 0.0939, 0.7516)
Pr (0.5823, 0.9061, 0.2484)
Pr (0.7409, 0.7409, 0.7502)
Pr (0.9061, 0.5823, 0.2484)
In (0.5000, 0.5000, 0.0000)

Computed properties:
Total DFT energy (no corrections)   -4.69 eV per atom
Formation energy   -0.06 eV per atom
Total moment   0.00 Bohr magnetons per cell
Space-group type   C2/m